The following is a DFT calculation (PBE) of a relaxed KGdB crystal.

The structure in POSCAR format:
```
KGdB
1.0
-1.432 0.306 4.523
-4.517 1.099 0.994
-2.908 -3.301 1.801
K B Gd
1 1 1
Cartesian
-6.643 -1.422 5.488 K
0.000 0.000 0.000 B
-2.214 -0.474 1.829 Gd
```

Calculated values
Crystal system: cubic
Total magnetic moment, μB/cell: 0.01
Uncorrected energy, eV/atom: -3.191